[1]
Entry from the Alexandria database: a geometry-optimized NaMnTl2I6 structure (GGA-PBE).

Properties
* E_form (uncorrected): -0.60 eV/atom

Cell and atoms, written as CIF:
```
data_NaMnTl2I6
_chemical_formula_sum 'Na1 Mn1 Tl2 I6'
_space_group_name_H-M_alt 'P 1'
_space_group_IT_number 1
_cell_length_a 8.066
_cell_length_b 8.083
_cell_length_c 8.339
_cell_angle_alpha 90.40
_cell_angle_beta 117.52
_cell_angle_gamma 118.70
loop_
_space_group_symop_operation_xyz
'x,y,z'
loop_
_atom_site_label
_atom_site_fract_x
_atom_site_fract_y
_atom_site_fract_z
Na1 0.000 0.000 0.000
Mn1 0.980 0.510 0.486
Tl1 0.555 0.740 0.260
Tl2 0.565 0.209 0.795
I1 0.080 0.373 0.269
I2 0.080 0.839 0.367
I3 0.485 0.753 0.820
I4 0.503 0.292 0.165
I5 0.867 0.645 0.691
I6 0.913 0.204 0.632
```


[2]
Entry from the Alexandria database: a geometry-optimized Na2YMnI structure (GGA-PBE).

Properties
* E_form (uncorrected): 0.85 eV/atom

Cell and atoms, written as CIF:
```
data_Na2YMnI
_chemical_formula_sum 'Na2 Y1 Mn1 I1'
_space_group_name_H-M_alt 'P 4/m m m'
_space_group_IT_number 123
_space_group_name_Hall '-P 4 2'
_cell_length_a 5.448
_cell_length_b 5.448
_cell_length_c 4.726
_cell_angle_alpha 90.00
_cell_angle_beta 90.00
_cell_angle_gamma 90.00
loop_
_atom_site_label
_atom_site_fract_x
_atom_site_fract_y
_atom_site_fract_z
Na1 0.000 0.500 0.000
Y1 0.000 0.000 0.500
Mn1 0.500 0.500 0.000
I1 0.500 0.500 0.500
```


[3]
Entry from the Alexandria database: a geometry-optimized MnNb2I6 structure (GGA-PBE).

Properties
* E_form (uncorrected): -0.18 eV/atom

Cell and atoms, written as CIF:
```
data_MnNb2I6
_chemical_formula_sum 'Mn4 Nb8 I24'
_space_group_name_H-M_alt 'C 1 2/c 1'
_space_group_IT_number 15
_cell_length_a 14.825
_cell_length_b 12.542
_cell_length_c 6.752
_cell_angle_alpha 90.00
_cell_angle_beta 116.73
_cell_angle_gamma 90.00
loop_
_space_group_symop_operation_xyz
'x,y,z'
'-x,-y,-z'
'-x,y,-z+1/2'
'x,-y,z+1/2'
'x+1/2,y+1/2,z'
'-x+1/2,-y+1/2,-z'
'-x+1/2,y+1/2,-z+1/2'
'x+1/2,-y+1/2,z+1/2'
loop_
_atom_site_label
_atom_site_fract_x
_atom_site_fract_y
_atom_site_fract_z
Mn1 0.000 0.091 0.250
Nb1 0.228 0.065 0.470
I1 0.114 0.106 0.712
I2 0.136 0.259 0.223
I3 0.137 0.421 0.722
```


[4]
Entry from the Alexandria database: a geometry-optimized MnNbI2 structure (GGA-PBE).

Properties
* distance to the lowest polymorph of the same formula: 100 meV per atom
* E_form (uncorrected): 1.04 eV/atom

Cell and atoms, written as CIF:
```
data_MnNbI2
_chemical_formula_sum 'Mn4 Nb4 I8'
_space_group_name_H-M_alt 'I -4 2 d'
_space_group_IT_number 122
_space_group_name_Hall 'I -4 2bw'
_cell_length_a 6.178
_cell_length_b 6.178
_cell_length_c 11.361
_cell_angle_alpha 90.00
_cell_angle_beta 90.00
_cell_angle_gamma 90.00
loop_
_atom_site_label
_atom_site_fract_x
_atom_site_fract_y
_atom_site_fract_z
Mn1 0.000 0.000 0.000
Nb1 0.000 0.000 0.500
I1 0.215 0.250 0.125
```


[5]
Entry from the Alexandria database: a geometry-optimized MnNb3I structure (GGA-PBE).

Properties
* distance to the lowest polymorph of the same formula: 0 meV per atom
* E_form (uncorrected): 0.91 eV/atom

Cell and atoms, written as CIF:
```
data_MnNb3I
_chemical_formula_sum 'Mn1 Nb3 I1'
_space_group_name_H-M_alt 'P m -3 m'
_space_group_IT_number 221
_space_group_name_Hall '-P 4 2 3'
_cell_length_a 4.714
_cell_length_b 4.714
_cell_length_c 4.714
_cell_angle_alpha 90.00
_cell_angle_beta 90.00
_cell_angle_gamma 90.00
loop_
_atom_site_label
_atom_site_fract_x
_atom_site_fract_y
_atom_site_fract_z
Mn1 0.000 0.000 0.000
Nb1 0.000 0.000 0.500
I1 0.500 0.500 0.500
```


[6]
Entry from the Alexandria database: a geometry-optimized MnNbI3 structure (GGA-PBE).

Properties
* distance to the lowest polymorph of the same formula: 0 meV per atom
* E_form (uncorrected): 0.47 eV/atom

Cell and atoms, written as CIF:
```
data_MnNbI3
_chemical_formula_sum 'Mn1 Nb1 I3'
_space_group_name_H-M_alt 'P m -3 m'
_space_group_IT_number 221
_space_group_name_Hall '-P 4 2 3'
_cell_length_a 5.729
_cell_length_b 5.729
_cell_length_c 5.729
_cell_angle_alpha 90.00
_cell_angle_beta 90.00
_cell_angle_gamma 90.00
loop_
_atom_site_label
_atom_site_fract_x
_atom_site_fract_y
_atom_site_fract_z
Mn1 0.000 0.000 0.000
Nb1 0.500 0.500 0.500
I1 0.000 0.500 0.500
```


[7]
Entry from the Alexandria database: a geometry-optimized MnNb2I8 structure (GGA-PBE).

Properties
* E_form (uncorrected): -0.27 eV/atom

Cell and atoms, written as CIF:
```
data_MnNb2I8
_chemical_formula_sum 'Mn2 Nb4 I16'
_space_group_name_H-M_alt 'C 1 2/m 1'
_space_group_IT_number 12
_cell_length_a 13.266
_cell_length_b 9.146
_cell_length_c 7.804
_cell_angle_alpha 90.00
_cell_angle_beta 94.12
_cell_angle_gamma 90.00
loop_
_space_group_symop_operation_xyz
'x,y,z'
'-x,-y,-z'
'-x,y,-z'
'x,-y,z'
'x+1/2,y+1/2,z'
'-x+1/2,-y+1/2,-z'
'-x+1/2,y+1/2,-z'
'x+1/2,-y+1/2,z'
loop_
_atom_site_label
_atom_site_fract_x
_atom_site_fract_y
_atom_site_fract_z
Mn1 0.000 0.000 0.000
Nb1 0.086 0.000 0.641
I1 0.091 0.249 0.830
I2 0.132 0.000 0.302
I3 0.201 0.500 0.317
```


[8]
Entry from the Alexandria database: a geometry-optimized MnNbI structure (GGA-PBE).

Properties
* E_form (uncorrected): 0.39 eV/atom

Cell and atoms, written as CIF:
```
data_MnNbI
_chemical_formula_sum 'Mn2 Nb2 I2'
_space_group_name_H-M_alt 'P -6 m 2'
_space_group_IT_number 187
_space_group_name_Hall 'P -6 2'
_cell_length_a 3.5387
_cell_length_b 3.5387
_cell_length_c 11.7516
_cell_angle_alpha 90.00
_cell_angle_beta 90.00
_cell_angle_gamma 120.00
loop_
_atom_site_label
_atom_site_fract_x
_atom_site_fract_y
_atom_site_fract_z
Mn1 0.0000 0.0000 0.0000
Mn2 0.3333 0.6667 0.5000
Nb1 0.3333 0.6667 0.1239
I1 0.0000 0.0000 0.3266
```


What did the fourth record say?
Entry from the Alexandria database: a geometry-optimized MnNbI2 structure (GGA-PBE).

Properties
* distance to the lowest polymorph of the same formula: 100 meV per atom
* E_form (uncorrected): 1.04 eV/atom

Cell and atoms, written as CIF:
```
data_MnNbI2
_chemical_formula_sum 'Mn4 Nb4 I8'
_space_group_name_H-M_alt 'I -4 2 d'
_space_group_IT_number 122
_space_group_name_Hall 'I -4 2bw'
_cell_length_a 6.178
_cell_length_b 6.178
_cell_length_c 11.361
_cell_angle_alpha 90.00
_cell_angle_beta 90.00
_cell_angle_gamma 90.00
loop_
_atom_site_label
_atom_site_fract_x
_atom_site_fract_y
_atom_site_fract_z
Mn1 0.000 0.000 0.000
Nb1 0.000 0.000 0.500
I1 0.215 0.250 0.125
```


Repeat the sixth record exactly.
Entry from the Alexandria database: a geometry-optimized MnNbI3 structure (GGA-PBE).

Properties
* distance to the lowest polymorph of the same formula: 0 meV per atom
* E_form (uncorrected): 0.47 eV/atom

Cell and atoms, written as CIF:
```
data_MnNbI3
_chemical_formula_sum 'Mn1 Nb1 I3'
_space_group_name_H-M_alt 'P m -3 m'
_space_group_IT_number 221
_space_group_name_Hall '-P 4 2 3'
_cell_length_a 5.729
_cell_length_b 5.729
_cell_length_c 5.729
_cell_angle_alpha 90.00
_cell_angle_beta 90.00
_cell_angle_gamma 90.00
loop_
_atom_site_label
_atom_site_fract_x
_atom_site_fract_y
_atom_site_fract_z
Mn1 0.000 0.000 0.000
Nb1 0.500 0.500 0.500
I1 0.000 0.500 0.500
```